(1)
Here is a relaxed Zr2VCrGa crystal from the Alexandria database. Energies are from GGA-PBE.

Structure (extended XYZ):
```
5
Lattice="4.949 0.000 0.000 0.000 4.949 0.000 0.000 0.000 4.095" Properties=species:S:1:pos:R:3 pbc="T T T"
Zr 0.000 2.475 0.000
Zr 2.475 0.000 0.000
V 0.000 0.000 2.048
Cr 0.000 0.000 0.000
Ga 2.475 2.475 2.048
```

As for the volume: 100 Å³/f.u. Its space group is P4/mmm. For the electronic total energy, the calculation gives -7.272 eV/atom.

=====

(2)
Here is a relaxed KMo2Ru crystal from the Alexandria database. Energies are from GGA-PBE.

Structure (extended XYZ):
```
16
Lattice="6.523 0.000 0.000 0.000 6.523 0.000 0.000 0.000 6.523" Properties=species:S:1:pos:R:3 pbc="T T T"
K 0.000 0.000 0.000
K 0.000 3.261 3.261
K 3.261 0.000 3.261
K 3.261 3.261 0.000
Mo 0.000 0.000 3.261
Mo 0.000 3.261 0.000
Mo 1.631 1.631 1.631
Mo 1.631 4.892 4.892
Mo 3.261 0.000 0.000
Mo 3.261 3.261 3.261
Mo 4.892 1.631 4.892
Mo 4.892 4.892 1.631
Ru 1.631 1.631 4.892
Ru 1.631 4.892 1.631
Ru 4.892 1.631 1.631
Ru 4.892 4.892 4.892
```

As for the volume: 69 Å³/f.u. The excess energy over the best structure of this formula in the dataset is 2.835 eV/f.u. Its space group is F-43m. For the electronic total energy, the calculation gives -6.571 eV/atom.

=====

(3)
Here is a relaxed HfZrNbIr crystal from the Alexandria database. Energies are from GGA-PBE.

Structure (extended XYZ):
```
16
Lattice="6.667 0.000 0.000 0.000 6.667 0.000 0.000 0.000 6.667" Properties=species:S:1:pos:R:3 pbc="T T T"
Hf 0.000 0.000 0.000
Hf 0.000 3.333 3.333
Hf 3.333 0.000 3.333
Hf 3.333 3.333 0.000
Zr 0.000 0.000 3.333
Zr 0.000 3.333 0.000
Zr 3.333 0.000 0.000
Zr 3.333 3.333 3.333
Nb 1.667 1.667 1.667
Nb 1.667 5.000 5.000
Nb 5.000 1.667 5.000
Nb 5.000 5.000 1.667
Ir 1.667 1.667 5.000
Ir 1.667 5.000 1.667
Ir 5.000 1.667 1.667
Ir 5.000 5.000 5.000
```

As for the volume: 74 Å³/f.u. Its space group is F-43m. For the electronic total energy, the calculation gives -9.787 eV/atom.

=====

Number 1: magnetization 0.000 μB/f.u., ΔE_f 0.5012 eV/atom. Number 2: magnetization 0.001 μB/f.u., ΔE_f 1.4382 eV/atom. Number 3: magnetization 0.001 μB/f.u., ΔE_f -0.4287 eV/atom.